# 1
LiNd3Th4Te8 PBE optimized geometry; total magnetization = 0.0 Bohr magnetons per cell; E_tot = -5.62 eV/atom; crystal system = trigonal
1.0
-3.722 -7.838 -0.287
7.317 -3.314 -4.393
1.222 3.949 7.635
Li Nd Th Te
1 3 4 8
direct
0.000 0.500 0.000
0.500 0.500 0.000
0.500 0.500 0.500
0.000 0.500 0.500
0.500 0.000 0.000
0.500 0.000 0.500
0.000 0.000 0.000
0.000 0.000 0.500
0.241 0.740 0.000
0.241 0.740 0.481
0.251 0.252 0.501
0.759 0.740 0.000
0.241 0.260 0.000
0.749 0.748 0.499
0.759 0.260 0.519
0.759 0.260 0.000

***

# 2
LiLaZnN2 PBE optimized geometry; total magnetization = 0.0 Bohr magnetons per cell; E_tot = -5.58 eV/atom; crystal system = monoclinic
1.0
-3.875 0.312 0.641
0.531 -3.173 4.751
0.947 5.734 2.935
Li La Zn N
2 2 2 4
direct
0.470 0.000 0.250
0.530 0.000 0.750
0.253 0.500 0.750
0.747 0.500 0.250
0.000 0.000 0.000
0.000 0.000 0.500
0.720 0.741 0.936
0.720 0.259 0.564
0.280 0.741 0.436
0.280 0.259 0.064